<w>
VASP calculation (PBE) on an optimized crystal structure of Ca3MoPb.

## Properties
Space group: Pm-3m

The structure in POSCAR format:
```
Ca3MoPb
1.0
5.487 0.000 0.000
0.000 5.487 0.000
0.000 0.000 5.487
Pb Mo Ca
1 1 3
direct
0.500 0.500 0.500
0.000 0.000 0.000
0.000 0.500 0.000
0.000 0.000 0.500
0.500 0.000 0.000
```

<x>
VASP calculation (PBE) on an optimized crystal structure of Ca3MoPb.

## Properties
Space group: Pm-3m

The structure in POSCAR format:
```
Ca3MoPb
1.0
-1.085 -5.758 1.095
2.848 0.456 5.217
-5.123 1.473 2.668
Pb Mo Ca
1 1 3
direct
0.000 0.000 0.000
0.500 0.500 0.500
0.000 0.500 0.000
0.000 0.000 0.500
0.500 0.000 0.000
```

Least stable of them? <x>.